This record from Alexandria describes a relaxed structure of CoSiPb2. The functional is PBE.

The theoretical density is 9.90 g/cm³. For the formation energy from raw total energies, the calculation gives 0.594 eV per atom. For the total energy, the calculation gives -4.39 eV per atom.

The structure belongs to space group P2/m (No. 10); the cell edges are 3.3062, 3.2588 and 7.8078 Å and the angles 90.00°, 90.18° and 90.00°. The distinct sites, in fractional coordinates, are Co at (0.0000, 0.0000, 0.0000), Si at (0.0000, 0.0000, 0.5000) and Pb at (0.4988, 0.5000, 0.7846).